A plane-wave DFT calculation with PBE with a Hubbard U was carried out for Li4Si2NiO7 after structural relaxation.

Summary:
Total DFT energy (no corrections) in eV per atom: -6.28
Crystal system: monoclinic
Symmetry: No. 5
Energy above the most stable polymorph in this dataset in eV/atom: 0.011

a b c (Å): 5.312 5.312 13.539
angles (deg): 99.05 99.05 50.24
Sites, in units of the cell vectors:
Li 0.125 0.174 0.971
Li 0.146 0.146 0.467
Li 0.274 0.291 0.178
Li 0.296 0.290 0.675
Li 0.709 0.726 0.822
Li 0.710 0.704 0.325
Li 0.826 0.875 0.029
Li 0.854 0.854 0.533
Si 0.428 0.425 0.894
Si 0.448 0.399 0.395
Si 0.575 0.572 0.106
Si 0.601 0.552 0.605
Ni 0.018 0.013 0.754
Ni 0.987 0.982 0.246
O 0.134 0.612 0.804
O 0.146 0.584 0.307
O 0.308 0.692 0.000
O 0.333 0.667 0.500
O 0.388 0.866 0.196
O 0.416 0.854 0.693
O 0.488 0.101 0.919
O 0.517 0.074 0.423
O 0.655 0.235 0.135
O 0.684 0.220 0.639
O 0.765 0.345 0.865
O 0.780 0.316 0.361
O 0.899 0.512 0.081
O 0.926 0.483 0.577